Entry from Alexandria via LeMat-Bulk: a relaxed HfAl2BiB crystal (GGA-PBEsol).

Crystal system: tetragonal
Formation energy from the elements (eV per atom): 1.11

Lattice parameters (Å, degrees): 4.3920 5.2092 5.2092 90.00 90.00 90.00
Last column: nearest neighbours and their distance in Å.
Fractional positions:
1 Hf 0.0000 0.0000 0.0000  2 B 2.20
2 Al 0.0000 0.5000 0.0000  2 Hf 2.60
3 Bi 0.5000 0.5000 0.5000  8 Al 3.41, 4 B 3.68
4 Al 0.0000 0.0000 0.5000  2 Hf 2.60
5 B 0.5000 0.0000 0.0000  2 Hf 2.20

=====

Entry from Alexandria via LeMat-Bulk: a relaxed BaLi2In crystal (GGA-PBEsol).

Crystal system: orthorhombic
Formation energy from the elements (eV per atom): -0.14

Lattice parameters (Å, degrees): 4.5194 5.7028 5.7851 119.53 112.99 90.00
Last column: nearest neighbours and their distance in Å.
Fractional positions:
1 Li 0.7107 0.2107 0.4214  2 Li 2.94
2 In 0.2865 0.7865 0.5730  2 Li 2.98
3 Li 0.0021 0.0021 0.0042  2 Li 2.94, 2 In 2.98
4 Ba 0.5007 0.5007 0.0014  8 Li 3.42-3.64, 4 In 3.42-3.44

=====

Entry from Alexandria via LeMat-Bulk: a relaxed NbI5 crystal (GGA-PBEsol).

Crystal system: monoclinic
Formation energy without anion corrections (meV per atom): -390

Lattice parameters (Å, degrees): 6.2683 10.5174 13.9182 109.01 90.00 90.00
Last column: nearest neighbours and their distance in Å.
Fractional positions:
1 I 0.2577 0.8072 0.8593  1 Nb 2.69
2 I 0.2497 0.6083 0.5696  1 Nb 2.66
3 I 0.7305 0.6074 0.2354  1 Nb 2.65
4 Nb 0.0093 0.2158 0.8025  6 I 2.65-2.93
5 I 0.7497 0.3917 0.9304  1 Nb 2.66
6 I 0.2542 0.0000 0.6642  2 Nb 2.89-2.93
7 Nb 0.4907 0.2158 0.3025  6 I 2.65-2.93
8 I 0.2503 0.6083 0.0696  1 Nb 2.66
9 I 0.2533 0.1893 0.9541  1 Nb 2.69
10 I 0.7467 0.8107 0.0459  1 Nb 2.69
11 I 0.7423 0.1928 0.1407  1 Nb 2.69
12 I 0.2423 0.8072 0.3593  1 Nb 2.69
13 I 0.2458 0.0000 0.1642  2 Nb 2.89-2.93
14 I 0.7695 0.6074 0.7354  1 Nb 2.65
15 I 0.7503 0.3917 0.4304  1 Nb 2.66
16 I 0.7533 0.8107 0.5459  1 Nb 2.69
17 I 0.2305 0.3926 0.2646  1 Nb 2.65
18 I 0.7542 0.0000 0.8358  2 Nb 2.89-2.93
19 I 0.2695 0.3926 0.7646  1 Nb 2.65
20 I 0.2467 0.1893 0.4541  1 Nb 2.69
21 I 0.7458 0.0000 0.3358  2 Nb 2.89-2.93
22 Nb 0.5093 0.7842 0.6975  6 I 2.65-2.93
23 I 0.7577 0.1928 0.6407  1 Nb 2.69
24 Nb 0.9907 0.7842 0.1975  6 I 2.65-2.93

=====

Entry from Alexandria via LeMat-Bulk: a relaxed Ba2AlCo crystal (GGA-PBEsol).

Crystal system: tetragonal
Formation energy from the elements (eV per atom): 0.43

Lattice parameters (Å, degrees): 3.8284 3.8302 7.9925 90.00 90.04 90.00
Last column: nearest neighbours and their distance in Å.
Fractional positions:
1 Al 0.5000 0.5000 0.5000  8 Ba 3.49-3.50, 4 Al 3.83
2 Co 0.5000 0.5000 0.0000  8 Ba 3.24-3.25
3 Ba 0.9992 0.0000 0.2235  4 Co 3.24-3.25, 4 Al 3.49-3.50, 1 Ba 3.57
4 Ba 0.0008 0.0000 0.7765  4 Co 3.24-3.25, 4 Al 3.49-3.50, 1 Ba 3.57

=====

Entry from Alexandria via LeMat-Bulk: a relaxed CsNaIn3 crystal (GGA-PBEsol).

Crystal system: cubic
Formation energy from the elements (eV per atom): 0.30

Lattice parameters (Å, degrees): 5.7110 5.7110 5.7110 90.00 90.00 90.00
Last column: nearest neighbours and their distance in Å.
Fractional positions:
1 In 0.5000 0.0000 0.0000  2 Na 2.86
2 In 0.0000 0.0000 0.5000  2 Na 2.86
3 Na 0.0000 0.0000 0.0000  6 In 2.86
4 Cs 0.5000 0.5000 0.5000  12 In 4.04
5 In 0.0000 0.5000 0.0000  2 Na 2.86

=====

Entry from Alexandria via LeMat-Bulk: a relaxed La5Ag crystal (GGA-PBEsol).

Crystal system: cubic
Formation energy from the elements (eV per atom): 0.33

Lattice parameters (Å, degrees): 6.4462 6.4462 6.4462 60.00 60.00 60.00
Last column: nearest neighbours and their distance in Å.
Fractional positions:
1 La 0.3737 0.3737 0.3737  6 La 3.19-3.26
2 La 0.8789 0.3737 0.3737  6 La 3.19-3.26
3 La 0.7500 0.7500 0.7500  12 La 3.78, 4 Ag 3.95
4 La 0.3737 0.8789 0.3737  6 La 3.19-3.26
5 Ag 0.0000 0.0000 0.0000  16 La 3.78-3.95
6 La 0.3737 0.3737 0.8789  6 La 3.19-3.26

=====

Entry from Alexandria via LeMat-Bulk: a relaxed RbP3F crystal (GGA-PBEsol).

Crystal system: cubic
Formation energy without anion corrections (meV per atom): 563

Lattice parameters (Å, degrees): 4.5890 4.5890 4.5890 90.00 90.00 90.00
Last column: nearest neighbours and their distance in Å.
Fractional positions:
1 F 0.0000 0.0000 0.0000  6 P 2.29
2 Rb 0.5000 0.5000 0.5000  12 P 3.24
3 P 0.0000 0.5000 0.0000  2 F 2.29
4 P 0.0000 0.0000 0.5000  2 F 2.29
5 P 0.5000 0.0000 0.0000  2 F 2.29

=====

Entry from Alexandria via LeMat-Bulk: a relaxed GaB2Rh2 crystal (GGA-PBEsol).

Crystal system: tetragonal
Formation energy from the elements (eV per atom): -0.40

Lattice parameters (Å, degrees): 2.9940 2.9940 6.4363 103.45 103.45 90.00
Last column: nearest neighbours and their distance in Å.
Fractional positions:
1 B 0.7500 0.2500 0.5000  4 B 2.12, 4 Rh 2.14
2 B 0.2500 0.7500 0.5000  4 B 2.12, 4 Rh 2.14
3 Ga 0.0000 0.0000 0.0000  8 Rh 2.60
4 Rh 0.3763 0.3763 0.7526  4 B 2.14
5 Rh 0.6237 0.6237 0.2474  4 B 2.14

=====

| no. | total magnetic moment (μB per atom) |
| --- | --- |
| 1 | 0.000 |
| 2 | 0.000 |
| 3 | 0.000 |
| 4 | 0.239 |
| 5 | 0.000 |
| 6 | 0.000 |
| 7 | 0.000 |
| 8 | 0.000 |